1.
Pr3Mg4In | PBE | relaxed

Its calculated total energy is -2.96 eV per atom. For the density of states at the Fermi level, the calculation gives 8.3 states/eV/f.u. The calculation puts the volume at 232.1 Å³ per cell.

```
data_Pr3Mg4In
_symmetry_space_group_name_H-M 'P 1'
_symmetry_Int_Tables_number 1
_cell_length_a 3.360
_cell_length_b 11.074
_cell_length_c 8.507
_cell_angle_alpha 130.61
_cell_angle_beta 101.39
_cell_angle_gamma 90.00
loop_
_symmetry_equiv_pos_as_xyz
'x,y,z'
loop_
_atom_site_label
_atom_site_type_symbol
_atom_site_fract_x
_atom_site_fract_y
_atom_site_fract_z
Pr1 Pr 0.000 0.500 0.000
Pr2 Pr 0.762 0.762 0.525
Pr3 Pr 0.238 0.238 0.475
Mg1 Mg 0.375 0.122 0.751
Mg2 Mg 0.625 0.878 0.249
Mg3 Mg 0.375 0.629 0.751
Mg4 Mg 0.625 0.371 0.249
In1 In 0.500 0.000 0.000
```



2.
PrPuMgIn | PBE | relaxed

Its calculated total energy is -5.97 eV per atom. For the density of states at the Fermi level, the calculation gives 8.4 states/eV/f.u. The calculation puts the volume at 114.3 Å³ per cell.

```
data_PrPuMgIn
_symmetry_space_group_name_H-M 'P 1'
_symmetry_Int_Tables_number 1
_cell_length_a 5.447
_cell_length_b 5.447
_cell_length_c 5.447
_cell_angle_alpha 60.00
_cell_angle_beta 60.00
_cell_angle_gamma 60.00
loop_
_symmetry_equiv_pos_as_xyz
'x,y,z'
loop_
_atom_site_label
_atom_site_type_symbol
_atom_site_fract_x
_atom_site_fract_y
_atom_site_fract_z
Mg1 Mg 0.500 0.500 0.500
Pr1 Pr 0.250 0.250 0.250
Pu1 Pu 0.750 0.750 0.750
In1 In 0.000 0.000 0.000
```



3.
Pr2MgIn2Rh5 | PBE | relaxed

Its calculated total energy is -5.73 eV per atom. For the density of states at the Fermi level, the calculation gives 5.2 states/eV/f.u. The calculation puts the volume at 396.5 Å³ per cell.

```
data_Pr2MgIn2Rh5
_symmetry_space_group_name_H-M 'P 1'
_symmetry_Int_Tables_number 1
_cell_length_a 3.670
_cell_length_b 10.394
_cell_length_c 10.394
_cell_angle_alpha 90.00
_cell_angle_beta 90.00
_cell_angle_gamma 90.00
loop_
_symmetry_equiv_pos_as_xyz
'x,y,z'
loop_
_atom_site_label
_atom_site_type_symbol
_atom_site_fract_x
_atom_site_fract_y
_atom_site_fract_z
Pr1 Pr 0.000 0.670 0.170
Pr2 Pr 0.000 0.330 0.830
Pr3 Pr 0.000 0.170 0.330
Pr4 Pr 0.000 0.830 0.670
In1 In 0.000 0.129 0.629
In2 In 0.000 0.871 0.371
In3 In 0.000 0.371 0.129
In4 In 0.000 0.629 0.871
Rh1 Rh 0.500 0.946 0.197
Rh2 Rh 0.500 0.554 0.697
Rh3 Rh 0.500 0.197 0.054
Rh4 Rh 0.500 0.303 0.554
Rh5 Rh 0.500 0.803 0.946
Rh6 Rh 0.500 0.054 0.803
Rh7 Rh 0.500 0.500 0.000
Rh8 Rh 0.500 0.000 0.500
Rh9 Rh 0.500 0.446 0.303
Rh10 Rh 0.500 0.697 0.446
Mg1 Mg 0.000 0.500 0.500
Mg2 Mg 0.000 0.000 0.000
```



4.
Pr2MgInS5 | PBE | relaxed

Its calculated total energy is -5.27 eV per atom. Its formation energy without anion corrections is -1.44 eV per atom. For the density of states at the Fermi level, the calculation gives 1.4 states/eV/f.u. The calculation puts the volume at 403.9 Å³ per cell.

```
data_Pr2MgInS5
_symmetry_space_group_name_H-M 'P 1'
_symmetry_Int_Tables_number 1
_cell_length_a 3.897
_cell_length_b 8.756
_cell_length_c 12.139
_cell_angle_alpha 90.00
_cell_angle_beta 90.00
_cell_angle_gamma 102.86
loop_
_symmetry_equiv_pos_as_xyz
'x,y,z'
loop_
_atom_site_label
_atom_site_type_symbol
_atom_site_fract_x
_atom_site_fract_y
_atom_site_fract_z
S1 S 0.715 0.430 0.161
S2 S 0.950 0.900 0.576
S3 S 0.640 0.280 0.496
S4 S 0.285 0.570 0.661
S5 S 0.312 0.624 0.367
S6 S 0.360 0.720 0.996
S7 S 0.493 0.986 0.769
S8 S 0.507 0.014 0.269
S9 S 0.050 0.100 0.076
S10 S 0.688 0.376 0.867
Pr1 Pr 0.118 0.236 0.674
Pr2 Pr 0.882 0.764 0.174
Pr3 Pr 0.139 0.279 0.311
Pr4 Pr 0.861 0.721 0.811
Mg1 Mg 0.787 0.575 0.518
Mg2 Mg 0.213 0.425 0.018
In1 In 0.550 0.099 0.953
In2 In 0.450 0.901 0.453
```



5.
PrMgScIn | PBE | relaxed

Its calculated total energy is -4.16 eV per atom. For the density of states at the Fermi level, the calculation gives 2.9 states/eV/f.u. The calculation puts the volume at 104.0 Å³ per cell.

```
data_PrMgScIn
_symmetry_space_group_name_H-M 'P 1'
_symmetry_Int_Tables_number 1
_cell_length_a 5.279
_cell_length_b 5.279
_cell_length_c 5.279
_cell_angle_alpha 60.00
_cell_angle_beta 60.00
_cell_angle_gamma 60.00
loop_
_symmetry_equiv_pos_as_xyz
'x,y,z'
loop_
_atom_site_label
_atom_site_type_symbol
_atom_site_fract_x
_atom_site_fract_y
_atom_site_fract_z
Mg1 Mg 0.250 0.250 0.250
Sc1 Sc 0.000 0.000 0.000
Pr1 Pr 0.500 0.500 0.500
In1 In 0.750 0.750 0.750
```



6.
PrSm2Mg2In2 | PBE | relaxed

Its calculated total energy is -3.53 eV per atom. For the density of states at the Fermi level, the calculation gives 4.4 states/eV/f.u. The calculation puts the volume at 199.1 Å³ per cell.

```
data_PrSm2Mg2In2
_symmetry_space_group_name_H-M 'P 1'
_symmetry_Int_Tables_number 1
_cell_length_a 5.049
_cell_length_b 5.049
_cell_length_c 9.477
_cell_angle_alpha 74.55
_cell_angle_beta 74.55
_cell_angle_gamma 60.00
loop_
_symmetry_equiv_pos_as_xyz
'x,y,z'
loop_
_atom_site_label
_atom_site_type_symbol
_atom_site_fract_x
_atom_site_fract_y
_atom_site_fract_z
Mg1 Mg 0.403 0.403 0.791
Mg2 Mg 0.597 0.597 0.209
Sm1 Sm 0.130 0.130 0.610
Sm2 Sm 0.870 0.870 0.390
Pr1 Pr 0.000 0.000 0.000
In1 In 0.738 0.738 0.786
In2 In 0.262 0.262 0.214
```



7.
PrSmMgIn | PBE | relaxed

Its calculated total energy is -3.79 eV per atom. For the density of states at the Fermi level, the calculation gives 3.5 states/eV/f.u. The calculation puts the volume at 115.6 Å³ per cell.

```
data_PrSmMgIn
_symmetry_space_group_name_H-M 'P 1'
_symmetry_Int_Tables_number 1
_cell_length_a 5.468
_cell_length_b 5.468
_cell_length_c 5.468
_cell_angle_alpha 60.00
_cell_angle_beta 60.00
_cell_angle_gamma 60.00
loop_
_symmetry_equiv_pos_as_xyz
'x,y,z'
loop_
_atom_site_label
_atom_site_type_symbol
_atom_site_fract_x
_atom_site_fract_y
_atom_site_fract_z
Pr1 Pr 0.250 0.250 0.250
Sm1 Sm 0.750 0.750 0.750
Mg1 Mg 0.000 0.000 0.000
In1 In 0.500 0.500 0.500
```



8.
PrMg2InSn | PBE | relaxed

Its calculated total energy is -3.29 eV per atom. For the density of states at the Fermi level, the calculation gives 2.3 states/eV/f.u. The calculation puts the volume at 259.6 Å³ per cell.

```
data_PrMg2InSn
_symmetry_space_group_name_H-M 'P 1'
_symmetry_Int_Tables_number 1
_cell_length_a 4.719
_cell_length_b 6.095
_cell_length_c 9.790
_cell_angle_alpha 90.00
_cell_angle_beta 90.00
_cell_angle_gamma 112.78
loop_
_symmetry_equiv_pos_as_xyz
'x,y,z'
loop_
_atom_site_label
_atom_site_type_symbol
_atom_site_fract_x
_atom_site_fract_y
_atom_site_fract_z
In1 In 0.000 0.000 0.500
In2 In 0.000 0.000 0.000
Mg1 Mg 0.726 0.451 0.415
Mg2 Mg 0.274 0.549 0.915
Mg3 Mg 0.726 0.451 0.085
Mg4 Mg 0.274 0.549 0.585
Sn1 Sn 0.161 0.322 0.250
Sn2 Sn 0.839 0.678 0.750
Pr1 Pr 0.444 0.887 0.250
Pr2 Pr 0.556 0.113 0.750
```



9.
PrMgInSn | PBE | relaxed

Its calculated total energy is -3.59 eV per atom. The calculation puts the offset from the most stable computed form at 0.190 eV/atom. For the density of states at the Fermi level, the calculation gives 3.4 states/eV/f.u. The calculation puts the volume at 108.1 Å³ per cell.

```
data_PrMgInSn
_symmetry_space_group_name_H-M 'P 1'
_symmetry_Int_Tables_number 1
_cell_length_a 5.348
_cell_length_b 5.348
_cell_length_c 5.348
_cell_angle_alpha 60.00
_cell_angle_beta 60.00
_cell_angle_gamma 60.00
loop_
_symmetry_equiv_pos_as_xyz
'x,y,z'
loop_
_atom_site_label
_atom_site_type_symbol
_atom_site_fract_x
_atom_site_fract_y
_atom_site_fract_z
In1 In 0.750 0.750 0.750
Pr1 Pr 0.000 0.000 0.000
Sn1 Sn 0.250 0.250 0.250
Mg1 Mg 0.500 0.500 0.500
```



10.
PrMgInSn | PBE | relaxed

Its calculated total energy is -3.78 eV per atom. The calculation puts the offset from the most stable computed form at 0.000 eV/atom. For the density of states at the Fermi level, the calculation gives 1.9 states/eV/f.u. The calculation puts the volume at 104.5 Å³ per cell.

```
data_PrMgInSn
_symmetry_space_group_name_H-M 'P 1'
_symmetry_Int_Tables_number 1
_cell_length_a 4.573
_cell_length_b 4.724
_cell_length_c 4.836
_cell_angle_alpha 90.00
_cell_angle_beta 90.00
_cell_angle_gamma 90.00
loop_
_symmetry_equiv_pos_as_xyz
'x,y,z'
loop_
_atom_site_label
_atom_site_type_symbol
_atom_site_fract_x
_atom_site_fract_y
_atom_site_fract_z
Pr1 Pr 0.500 0.500 0.000
Mg1 Mg 0.500 0.000 0.500
Sn1 Sn 0.000 0.000 0.000
In1 In 0.000 0.500 0.500
```



11.
SrPrMgIn | PBE | relaxed

Its calculated total energy is -2.97 eV per atom. The calculation puts the offset from the most stable computed form at 0.000 eV/atom. For the density of states at the Fermi level, the calculation gives 2.6 states/eV/f.u. The calculation puts the volume at 127.3 Å³ per cell.

```
data_SrPrMgIn
_symmetry_space_group_name_H-M 'P 1'
_symmetry_Int_Tables_number 1
_cell_length_a 5.647
_cell_length_b 5.647
_cell_length_c 5.647
_cell_angle_alpha 60.00
_cell_angle_beta 60.00
_cell_angle_gamma 60.00
loop_
_symmetry_equiv_pos_as_xyz
'x,y,z'
loop_
_atom_site_label
_atom_site_type_symbol
_atom_site_fract_x
_atom_site_fract_y
_atom_site_fract_z
Mg1 Mg 0.000 0.000 0.000
Pr1 Pr 0.250 0.250 0.250
Sr1 Sr 0.750 0.750 0.750
In1 In 0.500 0.500 0.500
```



12.
SrPrMgIn | PBE | relaxed

Its calculated total energy is -2.97 eV per atom. The calculation puts the offset from the most stable computed form at 0.004 eV/atom. For the density of states at the Fermi level, the calculation gives 3.1 states/eV/f.u. The calculation puts the volume at 129.7 Å³ per cell.

```
data_SrPrMgIn
_symmetry_space_group_name_H-M 'P 1'
_symmetry_Int_Tables_number 1
_cell_length_a 3.989
_cell_length_b 3.989
_cell_length_c 8.153
_cell_angle_alpha 90.00
_cell_angle_beta 90.00
_cell_angle_gamma 90.00
loop_
_symmetry_equiv_pos_as_xyz
'x,y,z'
loop_
_atom_site_label
_atom_site_type_symbol
_atom_site_fract_x
_atom_site_fract_y
_atom_site_fract_z
Pr1 Pr 0.000 0.000 0.353
Mg1 Mg 0.500 0.500 0.587
In1 In 0.500 0.500 0.127
Sr1 Sr 0.000 0.000 0.862
```



What did the eleventh record say?
SrPrMgIn | PBE | relaxed

Its calculated total energy is -2.97 eV per atom. The calculation puts the offset from the most stable computed form at 0.000 eV/atom. For the density of states at the Fermi level, the calculation gives 2.6 states/eV/f.u. The calculation puts the volume at 127.3 Å³ per cell.

```
data_SrPrMgIn
_symmetry_space_group_name_H-M 'P 1'
_symmetry_Int_Tables_number 1
_cell_length_a 5.647
_cell_length_b 5.647
_cell_length_c 5.647
_cell_angle_alpha 60.00
_cell_angle_beta 60.00
_cell_angle_gamma 60.00
loop_
_symmetry_equiv_pos_as_xyz
'x,y,z'
loop_
_atom_site_label
_atom_site_type_symbol
_atom_site_fract_x
_atom_site_fract_y
_atom_site_fract_z
Mg1 Mg 0.000 0.000 0.000
Pr1 Pr 0.250 0.250 0.250
Sr1 Sr 0.750 0.750 0.750
In1 In 0.500 0.500 0.500
```